Compound: AgHgBi2Se4
Source: the Alexandria database
Functional: PBE
Structure: optimized geometry

- formation energy without anion corrections (eV/atom) = -0.228
- symmetry = P2/m (10)

Unit cell a=4.244 b=7.343 c=7.223 alpha=110.07 beta=90.00 gamma=90.00
Sites, in units of the cell vectors:
1 Se 0.500 0.745 0.751
2 Hg 0.000 0.000 0.000
3 Se 0.500 0.255 0.249
4 Se 0.000 0.742 0.246
5 Ag 0.500 0.500 0.000
6 Bi 0.500 0.000 0.500
7 Bi 0.000 0.500 0.500
8 Se 0.000 0.258 0.754